Compound: Sm3Er8Sc2
Source: Alexandria
Functional: PBE-GGA
Structure: relaxed

Values from the calculation:
relative energy among the computed polymorphs = 0.04 eV per formula unit
theoretical density = 7.56 g/cm3
symmetry = C2/m

abc: 5.541 7.667 10.439
angles: 111.55 90.03 90.00
Element x y z (fractional)
Sc 0.501 0.759 0.519
Sc 0.499 0.241 0.481
Er 0.001 0.678 0.355
Er 0.500 0.177 0.772
Er 0.999 0.322 0.645
Er 0.500 0.405 0.228
Er 0.500 0.823 0.228
Er 0.500 0.595 0.772
Er 0.000 0.136 0.272
Er 0.000 0.864 0.728
Sm 0.000 0.708 0.000
Sm 0.500 0.000 0.000
Sm 0.000 0.292 0.000